ZrPdPt4 | PBE | relaxed

Cell and atoms, written as POSCAR:
```
ZrPdPt4
1.0
3.994 0.000 -0.069
0.000 8.122 0.000
-1.893 0.000 6.057
Zr Pd Pt
2 2 8
direct
0.166 0.750 0.332 Zr
0.834 0.250 0.668 Zr
0.830 0.750 0.661 Pd
0.170 0.250 0.339 Pd
0.334 0.499 0.669 Pt
0.666 0.999 0.331 Pt
0.334 0.001 0.669 Pt
0.666 0.501 0.331 Pt
0.000 0.500 0.000 Pt
0.000 0.000 0.000 Pt
0.498 0.750 0.995 Pt
0.502 0.250 0.005 Pt
```

ΔE to the lowest computed polymorph = 0.0 meV per atom
ΔE_f = -702 meV/atom
Density = 16.62 g/cm³
Raw total energy = -7.02 eV per atom
Space-group type = No. 63

---

Pu6Pd | PBE | relaxed

Cell and atoms, written as POSCAR:
```
Pu6Pd
1.0
5.754 0.000 0.000
-1.918 5.425 0.000
-1.918 -2.712 4.698
Pu Pd
6 1
direct
0.250 0.750 0.500 Pu
0.500 0.750 0.250 Pu
0.250 0.500 0.750 Pu
0.750 0.250 0.500 Pu
0.500 0.250 0.750 Pu
0.750 0.500 0.250 Pu
0.000 0.000 0.000 Pd
```

ΔE_f = 377 meV/atom
Density = 17.78 g/cm³
Raw total energy = -12.65 eV per atom
Space-group type = No. 229

---

Pu3Pd5 | PBE | relaxed

Cell and atoms, written as POSCAR:
```
Pu3Pd5
1.0
-0.827 -3.536 -2.439
5.309 0.617 -2.695
2.350 -3.487 4.259
Pu Pd
3 5
direct
0.000 0.500 0.500 Pu
0.500 0.767 0.233 Pu
0.500 0.233 0.767 Pu
0.000 0.000 0.000 Pd
0.000 0.500 0.000 Pd
0.000 0.000 0.500 Pd
0.500 0.750 0.750 Pd
0.500 0.250 0.250 Pd
```

ΔE_f = -432 meV/atom
Density = 13.40 g/cm³
Raw total energy = -9.05 eV per atom
Space-group type = No. 65

---

PuPd5 | PBE | relaxed

Cell and atoms, written as POSCAR:
```
PuPd5
1.0
-1.545 -4.461 -1.481
4.832 -0.314 1.019
-1.891 -2.107 8.322
Pu Pd
2 10
direct
0.750 0.250 0.677 Pu
0.250 0.750 0.323 Pu
0.750 0.750 0.838 Pd
0.750 0.750 0.162 Pd
0.250 0.250 0.838 Pd
0.250 0.250 0.162 Pd
0.250 0.750 0.668 Pd
0.750 0.250 0.332 Pd
0.250 0.750 0.994 Pd
0.750 0.250 0.006 Pd
0.250 0.250 0.500 Pd
0.750 0.750 0.500 Pd
```

ΔE_f = -371 meV/atom
Density = 12.59 g/cm³
Raw total energy = -7.09 eV per atom
Space-group type = No. 67

---

Pu3Pd5 | PBE | relaxed

Cell and atoms, written as POSCAR:
```
Pu3Pd5
1.0
-4.637 -2.842 -2.158
4.490 -2.105 -3.106
1.264 -7.106 6.644
Pu Pd
6 10
direct
0.202 0.798 0.000 Pu
0.798 0.202 0.500 Pu
0.798 0.202 0.000 Pu
0.628 0.628 0.250 Pu
0.372 0.372 0.750 Pu
0.202 0.798 0.500 Pu
0.487 0.932 0.750 Pd
0.513 0.068 0.250 Pd
0.685 0.685 0.549 Pd
0.974 0.974 0.750 Pd
0.315 0.315 0.049 Pd
0.932 0.487 0.750 Pd
0.068 0.513 0.250 Pd
0.026 0.026 0.250 Pd
0.685 0.685 0.951 Pd
0.315 0.315 0.451 Pd
```

ΔE_f = -486 meV/atom
Density = 12.87 g/cm³
Raw total energy = -9.11 eV per atom
Space-group type = No. 63

---

Pu5Pd3 | PBE | relaxed

Cell and atoms, written as POSCAR:
```
Pu5Pd3
1.0
-0.015 -1.600 2.627
-7.807 -2.144 -1.352
6.098 -4.708 -2.833
Pu Pd
5 3
direct
0.000 0.667 0.333 Pu
0.000 0.333 0.667 Pu
0.000 0.000 0.244 Pu
0.000 0.244 0.000 Pu
0.000 0.756 0.756 Pu
0.500 0.000 0.616 Pd
0.500 0.616 0.000 Pd
0.500 0.384 0.384 Pd
```

ΔE to the lowest computed polymorph = 38.1 meV per atom
ΔE_f = -205 meV/atom
Density = 14.24 g/cm³
Raw total energy = -11.11 eV per atom
Space-group type = No. 189

---

Pu2Pd | PBE | relaxed

Cell and atoms, written as POSCAR:
```
Pu2Pd
1.0
-1.536 -5.251 1.227
3.822 -4.319 -0.888
1.009 -2.032 5.377
Pu Pd
4 2
direct
0.839 0.500 0.822 Pu
0.161 0.500 0.178 Pu
0.339 0.822 0.500 Pu
0.661 0.178 0.500 Pu
0.250 0.000 0.000 Pd
0.750 0.000 0.000 Pd
```

ΔE_f = -192 meV/atom
Density = 13.44 g/cm³
Raw total energy = -11.48 eV per atom
Space-group type = No. 140

---

Pu4Pd3 | PBE | relaxed

Cell and atoms, written as POSCAR:
```
Pu4Pd3
1.0
-2.697 -1.366 -3.887
-3.929 -2.901 0.626
-6.833 5.042 -0.150
Pu Pd
4 3
direct
0.621 0.621 0.138 Pu
0.872 0.872 0.383 Pu
0.128 0.128 0.617 Pu
0.379 0.379 0.862 Pu
0.252 0.252 0.245 Pd
0.748 0.748 0.755 Pd
0.000 0.000 0.000 Pd
```

ΔE_f = -244 meV/atom
Density = 12.80 g/cm³
Raw total energy = -10.66 eV per atom
Space-group type = No. 166

---

The highest density belongs to which entry?
Pu6Pd

---

ΔE_f of number 1 (ZrPdPt4)?
-702 meV/atom